Entry 1:
Li2NbCuI, relaxed, DFT PBE-GGA; space-group type = P4/mmm, No. 123; energy relative to the elements, uncorrected = 476 meV per atom; distance to the lowest polymorph of the same formula = 0.000 eV per atom
1.0
-1.169 -2.590 3.793
4.553 0.442 1.705
-1.248 3.946 2.309
Li Nb I Cu
2 1 1 1
Direct
0.000 0.000 0.500
0.500 0.000 0.000
0.000 0.500 0.000
0.500 0.500 0.500
0.000 0.000 0.000

Entry 2:
SrSb2Au, relaxed, DFT PBE-GGA; space-group type = R-3m, No. 166; energy relative to the elements, uncorrected = -328 meV per atom
1.0
7.302 -0.005 -0.003
5.927 4.264 -0.003
5.927 1.908 3.813
Sb Sr Au
2 1 1
Direct
0.022 0.022 0.022
0.478 0.478 0.478
0.250 0.250 0.250
0.750 0.750 0.750

Entry 3:
Ac3TlCo3, relaxed, DFT PBE-GGA; space-group type = P6_3/m, No. 176; ΔH_f (0 K) = -0.086 eV/atom
1.0
3.990 0.000 0.000
0.000 9.182 -5.301
0.000 0.000 10.603
Co Ac Tl
6 6 2
Direct
0.250 0.142 0.120
0.750 0.858 0.880
0.750 0.120 0.978
0.250 0.880 0.022
0.250 0.978 0.858
0.750 0.022 0.142
0.250 0.309 0.939
0.750 0.691 0.061
0.250 0.061 0.370
0.250 0.630 0.691
0.750 0.370 0.309
0.750 0.939 0.630
0.250 0.667 0.333
0.750 0.333 0.667

Entry 4:
La2TaCo2, relaxed, DFT PBE-GGA; space-group type = I4/mmm, No. 139; ΔH_f (0 K) = 0.394 eV/atom; distance to the lowest polymorph of the same formula = 0.267 eV per atom
1.0
5.610 0.000 0.000
0.000 5.610 0.000
2.805 2.805 3.599
Co La Ta
2 2 1
Direct
0.331 0.331 0.339
0.669 0.669 0.661
0.250 0.750 0.500
0.750 0.250 0.500
0.000 0.000 0.000

Entry 5:
TiAl5Ga, relaxed, DFT PBE-GGA; space-group type = Imm2, No. 44; ΔH_f (0 K) = -0.030 eV/atom
1.0
9.330 0.000 0.000
0.000 5.090 0.000
-4.665 -2.545 2.562
Al Ga Ti
5 1 1
Direct
0.333 0.249 0.498
0.835 0.751 0.502
0.357 0.750 0.000
0.357 0.250 0.000
0.100 0.500 0.000
0.831 0.500 0.000
0.719 0.000 0.000

Entry 6:
Pr12Nd3Al, relaxed, DFT PBE-GGA; space-group type = P4/mmm, No. 123; ΔH_f (0 K) = -0.016 eV/atom
1.0
5.133 0.000 0.000
0.000 5.133 0.000
0.000 0.000 20.954
Nd Pr Al
3 12 1
Direct
0.000 0.000 0.755
0.000 0.000 0.245
0.000 0.000 0.500
0.500 0.500 0.757
0.500 0.500 0.500
0.500 0.000 0.628
0.500 0.000 0.884
0.500 0.000 0.372
0.000 0.500 0.628
0.000 0.500 0.372
0.500 0.500 0.000
0.000 0.500 0.884
0.500 0.000 0.116
0.000 0.500 0.116
0.500 0.500 0.243
0.000 0.000 0.000

Entry 7:
Ce4SiGe2, relaxed, DFT PBE-GGA; space-group type = R-3m, No. 166; energy relative to the elements, uncorrected = -465 meV per atom
1.0
4.257 0.000 0.000
2.129 3.687 0.000
2.129 1.229 11.667
Ce Ge Si
4 2 1
Direct
0.381 0.381 0.858
0.189 0.189 0.432
0.811 0.811 0.568
0.619 0.619 0.142
0.097 0.097 0.709
0.903 0.903 0.291
0.000 0.000 0.000

Entry 8:
Ce2In12Pd, relaxed, DFT PBE-GGA; space-group type = P4/nbm, No. 125; ΔH_f (0 K) = -0.199 eV/atom
1.0
-1.007 5.380 3.998
-5.357 1.784 -3.750
-10.354 -9.551 10.245
In Ce Pd
24 4 2
Direct
0.500 0.500 0.343
0.000 0.000 0.343
0.500 0.500 0.813
0.250 0.250 0.086
0.000 0.000 0.813
0.664 0.164 0.429
0.250 0.250 0.914
0.750 0.250 0.086
0.336 0.836 0.429
0.000 0.000 0.187
0.250 0.750 0.086
0.164 0.664 0.571
0.000 0.000 0.657
0.664 0.836 0.571
0.836 0.336 0.571
0.750 0.750 0.914
0.750 0.750 0.086
0.750 0.250 0.914
0.500 0.500 0.187
0.336 0.164 0.571
0.164 0.336 0.429
0.836 0.664 0.429
0.250 0.750 0.914
0.500 0.500 0.657
0.000 0.500 0.236
0.500 0.000 0.764
0.000 0.500 0.764
0.500 0.000 0.236
0.500 0.000 0.000
0.000 0.500 0.000

Entry 9:
BaOs4Au, relaxed, DFT PBE-GGA; space-group type = F-43m, No. 216; ΔH_f (0 K) = 0.976 eV/atom
1.0
0.000 3.841 3.841
3.841 0.000 3.841
3.841 3.841 0.000
Os Au Ba
4 1 1
Direct
0.376 0.872 0.376
0.376 0.376 0.872
0.376 0.376 0.376
0.872 0.376 0.376
0.750 0.750 0.750
0.000 0.000 0.000

Entry 10:
Cd3NiP, relaxed, DFT PBE-GGA; space-group type = Pm-3m, No. 221; ΔH_f (0 K) = 0.785 eV/atom; distance to the lowest polymorph of the same formula = 0.211 eV per atom
1.0
-0.104 3.294 -3.791
-5.021 -0.154 0.004
-0.114 3.789 3.296
Cd Ni P
3 1 1
Direct
0.000 0.000 0.500
0.000 0.500 0.000
0.500 0.000 0.000
0.500 0.500 0.500
0.000 0.000 0.000

Entry 11:
In3F, relaxed, DFT PBE-GGA; space-group type = Pmm2, No. 25; energy relative to the elements, uncorrected = -726 meV per atom; distance to the lowest polymorph of the same formula = 0.012 eV per atom
1.0
3.745 0.000 0.000
0.000 4.942 0.000
0.000 0.000 5.736
In F
3 1
Direct
0.000 0.850 0.500
0.500 0.208 0.000
0.500 0.358 0.500
0.000 0.916 0.000

Entry 12:
DyY3Th, relaxed, DFT PBE-GGA; space-group type = Cmce, No. 64; ΔH_f (0 K) = 0.167 eV/atom; distance to the lowest polymorph of the same formula = 0.137 eV per atom
1.0
-5.635 2.213 4.521
4.572 -3.448 7.387
4.197 8.267 1.186
Th Dy Y
4 4 12
Direct
0.082 0.394 0.106
0.582 0.106 0.394
0.918 0.606 0.894
0.418 0.894 0.606
0.750 0.226 0.774
0.750 0.726 0.274
0.250 0.774 0.226
0.250 0.274 0.726
0.879 0.374 0.423
0.621 0.874 0.923
0.855 0.906 0.594
0.879 0.077 0.126
0.355 0.594 0.906
0.645 0.406 0.094
0.621 0.577 0.626
0.379 0.423 0.374
0.145 0.094 0.406
0.121 0.626 0.577
0.379 0.126 0.077
0.121 0.923 0.874